Material: K3Fe5O12
Method: DFT, PBE with a Hubbard U
State: relaxed Values from VASP.

Computed properties:
Its total magnetic moment is 76.0 μB/cell. The density of states at the Fermi level comes out at 0.70 states/eV/atom. Its total energy is -446.3 eV per cell.

The structure in Quantum ESPRESSO input format:
```
&SYSTEM
  ibrav = 0, nat = 80, ntyp = 3
/
ATOMIC_SPECIES
K 39.10 K.upf
Fe 55.84 Fe.upf
O 16.00 O.upf
ATOMIC_POSITIONS crystal
K 0.7500 0.3750 0.1250
K 0.8750 0.7500 0.1250
K 0.3750 0.7500 0.6250
K 0.2500 0.1250 0.3750
K 0.8750 0.1250 0.2500
K 0.3750 0.6250 0.2500
K 0.6250 0.3750 0.7500
K 0.1250 0.8750 0.7500
K 0.7500 0.8750 0.6250
K 0.6250 0.2500 0.3750
K 0.1250 0.2500 0.8750
K 0.2500 0.6250 0.8750
Fe 0.1250 0.3750 0.2500
Fe 0.0000 0.5000 0.0000
Fe 0.0000 0.0000 0.0000
Fe 0.3750 0.2500 0.1250
Fe 0.5000 0.0000 0.5000
Fe 0.5000 0.5000 0.0000
Fe 0.1250 0.7500 0.3750
Fe 0.7500 0.1250 0.8750
Fe 0.7500 0.6250 0.3750
Fe 0.3750 0.1250 0.7500
Fe 0.6250 0.8750 0.2500
Fe 0.5000 0.5000 0.5000
Fe 0.5000 0.0000 0.0000
Fe 0.0000 0.0000 0.5000
Fe 0.2500 0.3750 0.6250
Fe 0.2500 0.8750 0.1250
Fe 0.0000 0.5000 0.5000
Fe 0.8750 0.2500 0.6250
Fe 0.6250 0.7500 0.8750
Fe 0.8750 0.6250 0.7500
O 0.6798 0.1024 0.9979
O 0.3181 0.4979 0.3955
O 0.0021 0.3976 0.3202
O 0.4979 0.1798 0.1024
O 0.5774 0.6798 0.6819
O 0.0021 0.6045 0.1819
O 0.3181 0.8202 0.4226
O 0.1045 0.9226 0.1024
O 0.6045 0.0021 0.6819
O 0.6798 0.5774 0.1819
O 0.8202 0.5021 0.3976
O 0.8181 0.8955 0.9979
O 0.1024 0.6798 0.4979
O 0.3976 0.3955 0.0774
O 0.0774 0.8955 0.3976
O 0.4226 0.1024 0.6045
O 0.0774 0.1819 0.1798
O 0.5021 0.6819 0.1045
O 0.8181 0.9226 0.3202
O 0.1024 0.4226 0.1045
O 0.3976 0.0021 0.8202
O 0.6045 0.6024 0.4226
O 0.8955 0.8181 0.4979
O 0.8202 0.3181 0.9226
O 0.3955 0.3976 0.5774
O 0.1045 0.1819 0.5021
O 0.1798 0.6819 0.0774
O 0.1819 0.0774 0.6798
O 0.6024 0.9979 0.1798
O 0.8976 0.5774 0.8955
O 0.4979 0.3181 0.8955
O 0.5774 0.8976 0.3955
O 0.9226 0.8181 0.8202
O 0.9226 0.1045 0.6024
O 0.8976 0.3202 0.5021
O 0.1819 0.1045 0.0021
O 0.6024 0.6045 0.9226
O 0.3955 0.9979 0.3181
O 0.3202 0.4226 0.8181
O 0.1798 0.4979 0.6024
O 0.8955 0.0774 0.8976
O 0.6819 0.1798 0.5774
O 0.5021 0.8202 0.8976
O 0.9979 0.3955 0.8181
O 0.4226 0.3202 0.3181
O 0.9979 0.6024 0.6798
O 0.6819 0.5021 0.6045
O 0.3202 0.8976 0.0021
CELL_PARAMETERS angstrom
-4.1730 6.9141 -7.7875
-7.2646 -8.3410 1.8750
1.7061 5.6844 9.5205
```